Record 1
Below is a crystal of TaZn relaxed with PBEsol, with properties calculated at the SCAN level. Values from VASP.

Cell and atoms, written as Quantum ESPRESSO input:
```
&SYSTEM
  ibrav = 0, nat = 2, ntyp = 2
/
ATOMIC_SPECIES
Zn 65.41 Zn.upf
Ta 180.95 Ta.upf
CELL_PARAMETERS angstrom
-0.2514 1.5612 -2.3258
-0.1037 -2.3388 -1.5586
-3.8977 -0.0745 0.3712
ATOMIC_POSITIONS angstrom
Zn -2.1264 -0.4261 -1.7566
Ta 0.0000 0.0000 0.0000
```

Summary:
**Symmetry**: P4/mmm (123)
**Raw total energy**: -40.108 eV per atom
**Calculated formation energy**: -0.1 eV/f.u.
**DOS(E_F)**: 0.52 states/eV per cell



Record 2
Below is a crystal of Ta2Zn3 relaxed with PBEsol, with properties calculated at the SCAN level. Values from VASP.

Cell and atoms, written as Quantum ESPRESSO input:
```
&SYSTEM
  ibrav = 0, nat = 5, ntyp = 2
/
ATOMIC_SPECIES
Ta 180.95 Ta.upf
Zn 65.41 Zn.upf
CELL_PARAMETERS angstrom
2.8246 0.0000 0.0000
1.4123 2.4462 0.0000
1.4123 0.8154 11.4321
ATOMIC_POSITIONS angstrom
Ta 2.8246 1.6308 2.3260
Ta 2.8246 1.6308 9.1061
Zn 0.0000 0.0000 0.0000
Zn 4.2369 2.4462 6.7838
Zn 1.4123 0.8154 4.6483
```

Summary:
**Symmetry**: R-3m (166)
**Raw total energy**: -34.610 eV per atom
**Calculated formation energy**: 0.7 eV/f.u.
**DOS(E_F)**: 3.17 states/eV per cell



Record 3
Below is a crystal of TaZn relaxed with PBEsol, with properties calculated at the SCAN level. Values from VASP.

Cell and atoms, written as Quantum ESPRESSO input:
```
&SYSTEM
  ibrav = 0, nat = 4, ntyp = 2
/
ATOMIC_SPECIES
Zn 65.41 Zn.upf
Ta 180.95 Ta.upf
CELL_PARAMETERS angstrom
2.7766 0.0000 0.0000
0.0000 2.7766 0.0000
0.0000 0.0000 8.1454
ATOMIC_POSITIONS angstrom
Zn 1.3883 0.0000 4.9555
Zn 0.0000 1.3883 3.1899
Ta 1.3883 0.0000 1.1610
Ta 0.0000 1.3883 6.9844
```

Summary:
**Symmetry**: P4/nmm (129)
**Raw total energy**: -40.082 eV per atom
**Calculated formation energy**: -0.1 eV/f.u.
**DOS(E_F)**: 1.92 states/eV per cell



Record 4
Below is a crystal of TaZn relaxed with PBEsol, with properties calculated at the SCAN level. Values from VASP.

Cell and atoms, written as Quantum ESPRESSO input:
```
&SYSTEM
  ibrav = 0, nat = 4, ntyp = 2
/
ATOMIC_SPECIES
Ta 180.95 Ta.upf
Zn 65.41 Zn.upf
CELL_PARAMETERS angstrom
2.8381 0.0000 0.0000
1.4190 2.4579 0.0000
1.4190 0.8193 9.2919
ATOMIC_POSITIONS angstrom
Ta 4.2571 2.4579 3.3725
Ta 1.4190 0.8193 5.9193
Zn 2.8381 1.6386 8.2459
Zn 2.8381 1.6386 1.0460
```

Summary:
**Symmetry**: R-3m (166)
**Raw total energy**: -39.918 eV per atom
**Calculated formation energy**: 0.3 eV/f.u.
**DOS(E_F)**: 2.81 states/eV per cell



Record 5
Below is a crystal of Ta3Zn relaxed with PBEsol, with properties calculated at the SCAN level. Values from VASP.

Cell and atoms, written as Quantum ESPRESSO input:
```
&SYSTEM
  ibrav = 0, nat = 8, ntyp = 2
/
ATOMIC_SPECIES
Zn 65.41 Zn.upf
Ta 180.95 Ta.upf
CELL_PARAMETERS angstrom
4.6315 0.0000 0.0000
0.0000 5.5983 -0.0026
0.0000 -2.2568 5.1233
ATOMIC_POSITIONS angstrom
Zn 1.1579 2.9187 1.7459
Zn 3.4737 0.4228 3.3747
Ta 3.4737 1.7029 0.8148
Ta 3.4737 4.5463 0.6838
Ta 1.1579 0.0600 1.8869
Ta 3.4737 3.2815 3.2338
Ta 1.1579 -1.2048 4.4368
Ta 1.1579 1.6386 4.3058
```

Summary:
**Symmetry**: Cmcm (63)
**Raw total energy**: -53.327 eV per atom
**Calculated formation energy**: 0.0 eV/f.u.
**DOS(E_F)**: 6.33 states/eV per cell



Record 6
Below is a crystal of Ta2Zn relaxed with PBEsol, with properties calculated at the SCAN level. Values from VASP.

Cell and atoms, written as Quantum ESPRESSO input:
```
&SYSTEM
  ibrav = 0, nat = 12, ntyp = 2
/
ATOMIC_SPECIES
Ta 180.95 Ta.upf
Zn 65.41 Zn.upf
CELL_PARAMETERS angstrom
3.9483 0.0000 0.0000
0.0000 3.9483 0.0000
-1.9742 -1.9742 12.5246
ATOMIC_POSITIONS angstrom
Ta 1.9742 1.9742 6.2026
Ta 0.0000 0.0000 6.3220
Ta 1.9742 0.0000 12.4649
Ta 1.9742 0.0000 0.0597
Ta 1.9742 1.9742 2.1229
Ta 0.0000 0.0000 10.4018
Ta 1.9742 0.0000 8.3852
Ta 1.9742 0.0000 4.1394
Zn 1.9742 1.9742 10.4308
Zn 0.0000 0.0000 2.0938
Zn 0.0000 1.9742 4.1685
Zn 0.0000 1.9742 8.3561
```

Summary:
**Symmetry**: I4_1/amd (141)
**Raw total energy**: -48.905 eV per atom
**Calculated formation energy**: 0.0 eV/f.u.
**DOS(E_F)**: 8.81 states/eV per cell